1.
This record from Alexandria via LeMat-Bulk describes CaTb2Ag6 after structural relaxation. The functional is PBE-GGA.

Values from the calculation:
Total magnetization, Bohr magnetons per cell: 0.000
Formation energy from the elements, meV/atom: -232

Lattice parameters (Å, degrees): 9.2928 16.1647 5.3334 90.00 90.03 90.00
Closest atoms and distances in Å follow each position.
Space group C2/c (No. 15)
Symmetry-distinct sites (fractional):
Ca (0.0000, 0.2502, 0.2500) [4 per cell]  10 Ag 3.05-3.16
Tb (0.2498, 0.0852, 0.9999) [8 per cell]  10 Ag 3.06-3.11
Ag (0.0836, 0.0808, 0.5044) [8 per cell]  5 Ag 3.04-3.13, 4 Tb 3.06-3.10, 1 Ca 3.15
Ag (0.0837, 0.4194, 0.5048) [8 per cell]  5 Ag 3.04-3.13, 4 Tb 3.06-3.11, 1 Ca 3.15
Ag (0.1600, 0.2501, 0.7509) [8 per cell]  5 Ag 2.97-3.16, 3 Ca 3.05-3.16, 2 Tb 3.09

2.
This record from Alexandria via LeMat-Bulk describes TmTlPd after structural relaxation. The functional is PBE-GGA.

Values from the calculation:
Total magnetization, Bohr magnetons per cell: 0.000
Formation energy from the elements, meV/atom: -488

Lattice parameters (Å, degrees): 3.5782 3.5782 23.1606 90.00 90.00 90.00
Closest atoms and distances in Å follow each position.
Space group I4/mmm (No. 139)
Symmetry-distinct sites (fractional):
Tm (0.0000, 0.0000, 0.1589) [4 per cell]  5 Pd 2.85-2.92
Tl (0.0000, 0.0000, 0.4340) [4 per cell]  1 Tl 3.06, 4 Tm 3.32
Pd (0.0000, 0.0000, 0.2849) [4 per cell]  5 Tm 2.85-2.92, 4 Pd 3.00

3.
This record from Alexandria via LeMat-Bulk describes CrPdPb2 after structural relaxation. The functional is PBE-GGA.

Values from the calculation:
Total magnetization, Bohr magnetons per cell: 16.264
Formation energy from the elements, meV/atom: 378

Lattice parameters (Å, degrees): 7.8027 7.8027 6.2235 90.00 90.00 90.00
Closest atoms and distances in Å follow each position.
Space group I-42d (No. 122)
Symmetry-distinct sites (fractional):
Cr (0.0000, 0.0000, 0.0000) [4 per cell]  4 Pb 2.96, 2 Pd 3.11
Pd (0.0000, 0.0000, 0.5000) [4 per cell]  4 Pb 2.77
Pb (0.2320, 0.2500, 0.6250) [8 per cell]  2 Pd 2.77, 2 Cr 2.96

4.
This record from Alexandria via LeMat-Bulk describes AsC3Se after structural relaxation. The functional is PBE-GGA.

Values from the calculation:
Total magnetization, Bohr magnetons per cell: 0.000
Formation energy without anion corrections, eV per atom: 2.887

Lattice parameters (Å, degrees): 3.9231 3.9231 3.9231 90.00 90.00 90.00
Closest atoms and distances in Å follow each position.
Space group Pm-3m (No. 221)
Symmetry-distinct sites (fractional):
As (0.0000, 0.0000, 0.0000) [1 per cell]  12 C 2.77
C (0.0000, 0.5000, 0.5000) [3 per cell]  2 Se 1.96
Se (0.5000, 0.5000, 0.5000) [1 per cell]  6 C 1.96

5.
This record from Alexandria via LeMat-Bulk describes AgSnGeAu after structural relaxation. The functional is PBE-GGA.

Values from the calculation:
Total magnetization, Bohr magnetons per cell: 0.000
Formation energy from the elements, meV/atom: 114

Lattice parameters (Å, degrees): 6.9166 6.9166 6.9166 90.00 90.00 90.00
Closest atoms and distances in Å follow each position.
Space group F-43m (No. 216)
Symmetry-distinct sites (fractional):
Ag (0.0000, 0.0000, 0.0000) [4 per cell]  4 Ge 2.99, 4 Sn 2.99
Sn (0.2500, 0.2500, 0.7500) [4 per cell]  4 Ag 2.99, 4 Au 2.99
Ge (0.2500, 0.2500, 0.2500) [4 per cell]  4 Au 2.99, 4 Ag 2.99
Au (0.0000, 0.0000, 0.5000) [4 per cell]  4 Ge 2.99, 4 Sn 2.99

6.
This record from Alexandria via LeMat-Bulk describes MgCrBr2 after structural relaxation. The functional is PBE-GGA.

Values from the calculation:
Total magnetization, Bohr magnetons per cell: 19.971
Formation energy without anion corrections, eV per atom: -0.159

Lattice parameters (Å, degrees): 5.4712 5.4712 15.7042 90.00 90.00 90.00
Closest atoms and distances in Å follow each position.
Space group I-42d (No. 122)
Symmetry-distinct sites (fractional):
Mg (0.0000, 0.0000, 0.0000) [4 per cell]  4 Br 2.78
Cr (0.0000, 0.0000, 0.5000) [4 per cell]  4 Br 2.73
Br (0.2421, 0.2500, 0.6250) [8 per cell]  2 Cr 2.73, 2 Mg 2.78

7.
This record from Alexandria via LeMat-Bulk describes InAgW2 after structural relaxation. The functional is PBE-GGA.

Values from the calculation:
Total magnetization, Bohr magnetons per cell: 0.000
Formation energy from the elements, meV/atom: 390

Lattice parameters (Å, degrees): 3.2512 4.7528 9.3480 90.00 90.00 90.00
Closest atoms and distances in Å follow each position.
Space group Cmm2 (No. 35)
Symmetry-distinct sites (fractional):
In (0.0000, 0.0000, 0.0000) [2 per cell]  4 In 2.88, 2 W 2.94, 2 Ag 2.96
Ag (0.0000, 0.5000, 0.2643) [2 per cell]  2 W 2.87, 4 Ag 2.88, 2 In 2.96
W (0.0000, 0.0000, 0.5179) [2 per cell]  6 W 2.62-2.88, 2 Ag 2.87
W (0.0000, 0.5000, 0.7381) [2 per cell]  6 W 2.62-2.88

8.
This record from Alexandria via LeMat-Bulk describes Ho2Sc5Ni2 after structural relaxation. The functional is PBE-GGA.

Values from the calculation:
Total magnetization, Bohr magnetons per cell: 0.000
Formation energy from the elements, meV/atom: -169

Lattice parameters (Å, degrees): 19.1756 6.5425 6.5129 90.00 90.00 90.00
Closest atoms and distances in Å follow each position.
Space group Cmce (No. 64)
Symmetry-distinct sites (fractional):
Ho (0.2292, 0.0000, 0.0000) [8 per cell]  4 Ho 3.35-3.37, 6 Sc 3.36-3.52
Sc (0.0000, 0.0000, 0.0000) [4 per cell]  4 Ni 2.57-2.58
Sc (0.1074, 0.1745, 0.3275) [16 per cell]  3 Ni 2.76-2.87
Ni (0.0000, 0.1268, 0.6264) [8 per cell]  1 Ni 2.34, 2 Sc 2.57-2.58

9.
This record from Alexandria via LeMat-Bulk describes Pr3YTm8 after structural relaxation. The functional is PBE-GGA.

Values from the calculation:
Total magnetization, Bohr magnetons per cell: 0.000
Formation energy from the elements, meV/atom: 51

Lattice parameters (Å, degrees): 11.1290 8.3788 9.1251 90.00 115.78 90.00
Closest atoms and distances in Å follow each position.
Space group Cm (No. 8)
Symmetry-distinct sites (fractional):
Pr (0.0000, 0.0000, 0.0000) [2 per cell]  7 Tm 3.46-3.71, 4 Pr 3.50-3.56
Pr (0.2360, 0.2936, 0.0394) [4 per cell]  3 Pr 3.46-3.56, 7 Tm 3.52-3.66, 1 Y 3.54
Y (0.3058, 0.5000, 0.4065) [2 per cell]  9 Tm 3.40-3.66, 2 Pr 3.54
Tm (0.0706, 0.2063, 0.3736) [4 per cell]  7 Tm 3.44-3.59, 2 Y 3.51-3.54, 2 Pr 3.59-3.65
Tm (0.1400, 0.0000, 0.7274) [2 per cell]  7 Tm 3.44-3.64, 3 Pr 3.46-3.56, 1 Y 3.60
Tm (0.1647, 0.5000, 0.6705) [2 per cell]  1 Y 3.40, 7 Tm 3.47-3.56, 3 Pr 3.55-3.63
Tm (0.3378, 0.0000, 0.3462) [2 per cell]  8 Tm 3.42-3.55, 3 Pr 3.52-3.71
Tm (0.4026, 0.2027, 0.6982) [4 per cell]  8 Tm 3.40-3.59, 1 Y 3.46, 2 Pr 3.52-3.66
Tm (0.4716, 0.0000, 0.0673) [2 per cell]  6 Tm 3.46-3.64, 4 Pr 3.52, 1 Y 3.66

10.
This record from Alexandria via LeMat-Bulk describes Pm12Co5Te3 after structural relaxation. The functional is PBE-GGA.

Values from the calculation:
Total magnetization, Bohr magnetons per cell: 0.000
Formation energy without anion corrections, eV per atom: -0.199

Lattice parameters (Å, degrees): 16.9653 16.9653 16.9653 90.00 90.00 90.00
Closest atoms and distances in Å follow each position.
Space group Ia-3d (No. 230)
Symmetry-distinct sites (fractional):
Pm (0.0310, 0.0540, 0.6462) [96 per cell]  2 Co 2.55-2.70
Co (0.0000, 0.0000, 0.0000) [16 per cell]  6 Pm 2.70
Co (0.0000, 0.2500, 0.3750) [24 per cell]  4 Pm 2.55
Te (0.0000, 0.2500, 0.1250) [24 per cell]  8 Pm 3.31-3.39

11.
This record from Alexandria via LeMat-Bulk describes K2Tl3SnI6 after structural relaxation. The functional is PBE-GGA.

Values from the calculation:
Total magnetization, Bohr magnetons per cell: 1.987
Formation energy without anion corrections, eV per atom: -0.781

Lattice parameters (Å, degrees): 8.4825 14.7293 9.3051 90.00 112.43 90.00
Closest atoms and distances in Å follow each position.
Space group C2/m (No. 12)
Symmetry-distinct sites (fractional):
K (0.0000, 0.1570, 0.0000) [4 per cell]  6 I 3.52-3.76
Tl (0.0000, 0.0000, 0.5000) [2 per cell]  6 I 3.44-3.56
Tl (0.0000, 0.3296, 0.5000) [4 per cell]  6 I 3.43-3.67
Sn (0.0000, 0.5000, 0.0000) [2 per cell]  4 I 3.27
I (0.2241, 0.3406, 0.2339) [8 per cell]  1 Sn 3.27, 1 K 3.54, 2 Tl 3.56-3.66
I (0.2473, 0.0000, 0.2803) [4 per cell]  3 Tl 3.43-3.44, 2 K 3.52

12.
This record from Alexandria via LeMat-Bulk describes Tb2Ga3Au after structural relaxation. The functional is PBE-GGA.

Values from the calculation:
Total magnetization, Bohr magnetons per cell: 0.000
Formation energy from the elements, meV/atom: -724

Lattice parameters (Å, degrees): 7.4076 8.8690 15.4460 90.00 90.00 90.00
Closest atoms and distances in Å follow each position.
Space group Fmmm (No. 69)
Symmetry-distinct sites (fractional):
Tb (0.2424, 0.0000, 0.0000) [8 per cell]  10 Ga 3.14-3.17, 2 Au 3.17
Tb (0.2500, 0.2500, 0.2500) [8 per cell]  4 Au 3.15, 8 Ga 3.19
Ga (0.0000, 0.0000, 0.3372) [8 per cell]  2 Ga 2.52, 1 Au 2.59
Ga (0.0000, 0.2471, 0.4179) [16 per cell]  2 Ga 2.52-2.54, 1 Au 2.62
Au (0.0000, 0.0000, 0.1692) [8 per cell]  3 Ga 2.59-2.62

- Among the records above, which one has the highest total magnetization?
  MgCrBr2